PBE-GGA KCaBr2, relaxed; symmetry = No. 119; ΔE to the lowest computed polymorph = 215 meV/atom; raw formation energy = -1.269 eV/atom; spin magnetization = 0.00 μB per formula unit
1.0
-8.774 -0.245 1.564
-5.602 -1.671 6.732
7.246 3.969 -3.353
Br K Ca
2 1 1
Cartesian
0.000 0.000 0.000 Br
-4.358 1.383 1.180 Br
-2.772 0.670 3.764 K
-7.188 -0.958 4.148 Ca